Computed, not measured: a geometry-optimized AcCuMoO6 structure at the PBE+U level of DFT.

Results
- ρ: 6.25 g/cm³
- Crystal system: monoclinic
- Magnetization: 0.000 μB/atom
- E_tot: -6.833 eV/atom
- SG: C2

abc: 5.1577 5.1577 5.3221
angles: 93.19 93.19 114.54
Positions (direct):
Ac1 0.0000 0.0000 0.0000
Cu1 0.3015 0.6985 0.5000
Mo1 0.6480 0.3520 0.5000
O1 0.3365 0.4149 0.2983
O2 0.3455 0.0442 0.6715
O3 0.5851 0.6635 0.7017
O4 0.6153 0.0817 0.2458
O5 0.9183 0.3847 0.7542
O6 0.9558 0.6545 0.3285